## P
Computed, not measured: AlWCl after structural relaxation at the PBE level of DFT.

Cell lengths 8.7326, 8.4486, 3.0007 Å; angles 85.33, 74.64, 20.03 degrees
With the nearest neighbours (Å) after each atom.
Sites, in units of the cell vectors:
Al: 0.9930 0.9930 0.0070  2 Cl 2.31
W: 0.6224 0.6224 0.3776  2 Al 2.59, 2 W 2.87
Cl: 0.3846 0.3846 0.6154  2 Al 2.31

Output
- Symmetry: Fmm2 (42)



## Q
Computed, not measured: AlWCl after structural relaxation at the PBE level of DFT.

Cell lengths 4.4050, 4.4050, 4.4050 Å; angles 60.00, 60.00, 60.00 degrees
With the nearest neighbours (Å) after each atom.
Sites, in units of the cell vectors:
Al: 0.0000 0.0000 0.0000  4 W 2.70
W: 0.2500 0.2500 0.2500  4 Cl 2.70, 4 Al 2.70
Cl: 0.5000 0.5000 0.5000  4 W 2.70

Output
- Symmetry: F-43m (216)



Which of them is the most stable, and which is the least stable? P and Q, in that order.



## P
Computed, not measured: AlWCl2 after structural relaxation at the PBE level of DFT.

Cell lengths 7.6908, 7.6908, 7.6908 Å; angles 157.74, 144.94, 41.92 degrees
With the nearest neighbours (Å) after each atom.
Sites, in units of the cell vectors:
Al: 0.2500 0.7500 0.5000  4 W 2.75, 2 Al 2.97, 4 Cl 3.08
W: 0.7500 0.2500 0.5000  4 Cl 2.51, 4 Al 2.75
Cl: 0.8913 0.8913 0.0000  2 W 2.51
Cl: 0.6087 0.6087 0.0000  2 W 2.51

Output
- Symmetry: Immm (71)



## Q
Computed, not measured: AlWCl2 after structural relaxation at the PBE level of DFT.

Cell lengths 3.0008, 3.0019, 9.6928 Å; angles 90.00, 90.00, 90.00 degrees
With the nearest neighbours (Å) after each atom.
Sites, in units of the cell vectors:
Al: 0.5000 0.5000 0.5287  1 Cl 2.11
W: 0.0000 0.0000 0.7152  1 Cl 2.23
Cl: 0.0000 0.0000 0.9448  1 W 2.23
Cl: 0.5000 0.5000 0.3113  1 Al 2.11

Output
- Symmetry: P4mm (99)



Which of them is the most stable, and which is the least stable? Q and P, in that order.



## P
Computed, not measured: AlWCl2 after structural relaxation at the PBE level of DFT.

Cell lengths 5.0836, 5.0836, 2.9338 Å; angles 90.00, 90.00, 111.29 degrees
With the nearest neighbours (Å) after each atom.
Sites, in units of the cell vectors:
Al: 0.0000 0.5000 0.5000  2 W 2.87, 2 Al 2.93, 8 Cl 2.93
W: 0.5000 0.0000 0.5000  2 Al 2.87, 2 W 2.93, 8 Cl 2.93
Cl: 0.0000 0.0000 0.0000  4 Cl 2.87-2.93, 4 W 2.93, 4 Al 2.93
Cl: 0.5000 0.5000 0.0000  4 Cl 2.87-2.93, 4 Al 2.93, 4 W 2.93

Output
- Symmetry: Cmmm (65)



## Q
Computed, not measured: AlWCl2 after structural relaxation at the PBE level of DFT.

Cell lengths 7.2853, 7.2853, 4.6994 Å; angles 80.92, 80.92, 23.23 degrees
With the nearest neighbours (Å) after each atom.
Sites, in units of the cell vectors:
Al: 0.2500 0.2500 0.2500  2 Cl 2.63, 4 W 2.77, 2 Al 2.93
W: 0.7500 0.7500 0.7500  4 Cl 2.52, 4 Al 2.77
Cl: 0.1110 0.1110 0.9447  2 W 2.52, 1 Al 2.63
Cl: 0.3890 0.3890 0.5553  2 W 2.52, 1 Al 2.63

Output
- Symmetry: C2/m (12)



## R
Computed, not measured: AlWCl2 after structural relaxation at the PBE level of DFT.

Cell lengths 5.4901, 5.4901, 2.9602 Å; angles 71.66, 71.66, 110.62 degrees
With the nearest neighbours (Å) after each atom.
Sites, in units of the cell vectors:
Al: 0.0000 0.5000 0.5000  4 Cl 2.68, 2 W 2.88, 2 Al 2.96
W: 0.5000 0.0000 0.5000  4 Cl 2.68, 2 Al 2.88, 2 W 2.96
Cl: 0.0000 0.0000 0.0000  2 Al 2.68, 2 W 2.68, 4 Cl 2.88-2.96
Cl: 0.5000 0.5000 0.0000  2 W 2.68, 2 Al 2.68, 4 Cl 2.88-2.96

Output
- Symmetry: C2/m (12)



Which of them is the most stable, and which is the least stable? Q and P, in that order.



## P
Computed, not measured: AlWCl2 after structural relaxation at the PBE level of DFT.

Cell lengths 2.9630, 2.9630, 8.8424 Å; angles 90.00, 90.00, 90.00 degrees
With the nearest neighbours (Å) after each atom.
Sites, in units of the cell vectors:
Al: 0.5000 0.5000 0.7260  4 Cl 2.71, 4 W 2.78, 4 Al 2.96
W: 0.0000 0.0000 0.5187  4 Cl 2.65, 4 Al 2.78, 4 W 2.96
Cl: 0.0000 0.0000 0.9203  4 Al 2.71, 4 Cl 2.96
Cl: 0.5000 0.5000 0.3350  4 W 2.65, 4 Cl 2.96

Output
- Symmetry: P4mm (99)



## Q
Computed, not measured: AlWCl2 after structural relaxation at the PBE level of DFT.

Cell lengths 5.0418, 5.0418, 7.3655 Å; angles 74.21, 74.21, 34.23 degrees
With the nearest neighbours (Å) after each atom.
Sites, in units of the cell vectors:
Al: 0.1765 0.1765 0.4261  3 W 2.68-2.69, 2 Cl 2.97, 2 Al 2.97
W: 0.4649 0.4649 0.3553  4 Cl 2.44-2.53, 3 Al 2.68-2.69
Cl: 0.0101 0.0101 0.0826  2 W 2.44
Cl: 0.8485 0.8485 0.6360  2 W 2.53

Output
- Symmetry: Cm (8)



## R
Computed, not measured: AlWCl2 after structural relaxation at the PBE level of DFT.

Cell lengths 3.1818, 3.1818, 9.4906 Å; angles 90.00, 90.00, 125.38 degrees
With the nearest neighbours (Å) after each atom.
Sites, in units of the cell vectors:
Al: 0.5000 0.5000 0.7500  6 Al 2.92-3.18, 4 Cl 3.12
W: 0.5000 0.5000 0.2500  4 Cl 2.47
Cl: 0.0000 0.0000 0.0401  2 W 2.47
Cl: 0.0000 0.0000 0.4599  2 W 2.47

Output
- Symmetry: Cmmm (65)



## S
Computed, not measured: AlWCl2 after structural relaxation at the PBE level of DFT.

Cell lengths 9.5281, 9.5281, 9.5281 Å; angles 18.83, 18.83, 18.83 degrees
With the nearest neighbours (Å) after each atom.
Sites, in units of the cell vectors:
Al: 0.7552 0.7552 0.7552  3 Cl 2.46, 3 W 2.71
W: 0.4940 0.4940 0.4940  3 Cl 2.49, 3 Al 2.71
Cl: 0.0286 0.0286 0.0286  3 Al 2.46
Cl: 0.2222 0.2222 0.2222  3 W 2.49

Output
- Symmetry: R3m (160)



Which of them is the most stable, and which is the least stable? S and R, in that order.



## P
Computed, not measured: AlWCl2 after structural relaxation at the PBE level of DFT.

Cell lengths 3.0149, 4.0494, 7.8154 Å; angles 83.57, 90.00, 90.00 degrees
With the nearest neighbours (Å) after each atom.
Sites, in units of the cell vectors:
Al: 0.5000 0.7726 0.6960  2 Cl 2.48, 4 W 2.66-2.72
W: 0.0000 0.3073 0.5761  3 Cl 2.41-2.60, 2 Al 2.66
Cl: 0.0000 0.0344 0.8931  2 Al 2.48, 1 W 2.60
Cl: 0.5000 0.3857 0.3348  2 W 2.41

Output
- Symmetry: Pm (6)



## Q
Computed, not measured: AlWCl2 after structural relaxation at the PBE level of DFT.

Cell lengths 6.5560, 6.5560, 6.5560 Å; angles 153.81, 101.52, 84.43 degrees
With the nearest neighbours (Å) after each atom.
Sites, in units of the cell vectors:
Al: 0.2636 0.7636 0.5000  2 Cl 2.35, 2 W 2.61
W: 0.4844 0.4844 0.0000  2 Cl 2.38, 2 Al 2.61
Cl: 0.0766 0.0766 0.0000  2 Al 2.35
Cl: 0.6754 0.1754 0.5000  2 W 2.38

Output
- Symmetry: Imm2 (44)



## R
Computed, not measured: AlWCl2 after structural relaxation at the PBE level of DFT.

Cell lengths 5.6512, 5.6512, 5.6512 Å; angles 139.75, 139.75, 58.24 degrees
With the nearest neighbours (Å) after each atom.
Sites, in units of the cell vectors:
Al: 0.7500 0.2500 0.5000  4 Cl 2.75
W: 0.5000 0.5000 0.0000  4 Cl 2.75
Cl: 0.0000 0.0000 0.0000  4 W 2.75
Cl: 0.2500 0.7500 0.5000  4 Al 2.75

Output
- Symmetry: I-4m2 (119)



## S
Computed, not measured: AlWCl2 after structural relaxation at the PBE level of DFT.

Cell lengths 2.9833, 2.9833, 10.3297 Å; angles 90.00, 90.00, 90.00 degrees
With the nearest neighbours (Å) after each atom.
Sites, in units of the cell vectors:
Al: 0.5000 0.5000 0.7500  4 Al 2.98
W: 0.5000 0.5000 0.2500  8 Cl 2.59
Cl: 0.0000 0.0000 0.1045  4 W 2.59
Cl: 0.0000 0.0000 0.3955  4 W 2.59

Output
- Symmetry: P4/mmm (123)



Which of them is the most stable, and which is the least stable? P and R, in that order.



## P
Computed, not measured: Al3WCl after structural relaxation at the PBE level of DFT.

Cell lengths 5.0452, 5.0452, 5.0452 Å; angles 90.00, 90.00, 90.00 degrees
With the nearest neighbours (Å) after each atom.
Sites, in units of the cell vectors:
Al: 0.0000 0.5000 0.0000  2 W 2.52
Al: 0.0000 0.0000 0.5000  2 W 2.52
Al: 0.5000 0.0000 0.0000  2 W 2.52
W: 0.0000 0.0000 0.0000  6 Al 2.52
Cl: 0.5000 0.5000 0.5000  12 Al 3.57

Output
- Symmetry: Pm-3m (221)



## Q
Computed, not measured: Al3WCl after structural relaxation at the PBE level of DFT.

Cell lengths 4.5092, 4.5092, 4.5092 Å; angles 90.00, 90.00, 90.00 degrees
With the nearest neighbours (Å) after each atom.
Sites, in units of the cell vectors:
Al: 0.0000 0.5000 0.0000  2 Cl 2.25
Al: 0.0000 0.0000 0.5000  2 Cl 2.25
Al: 0.5000 0.0000 0.0000  2 Cl 2.25
W: 0.5000 0.5000 0.5000  12 Al 3.19
Cl: 0.0000 0.0000 0.0000  6 Al 2.25

Output
- Symmetry: Pm-3m (221)



Which of them is the most stable, and which is the least stable? P and Q, in that order.



## P
Computed, not measured: YAl2Cl after structural relaxation at the PBE level of DFT.

Cell lengths 3.2506, 3.2506, 8.4066 Å; angles 90.00, 90.00, 90.00 degrees
With the nearest neighbours (Å) after each atom.
Sites, in units of the cell vectors:
Y: 0.5000 0.5000 0.7500  8 Al 3.12, 4 Y 3.25
Al: 0.0000 0.0000 0.0016  4 Cl 3.11, 4 Y 3.12, 4 Al 3.25
Al: 0.0000 0.0000 0.4984  4 Cl 3.11, 4 Y 3.12, 4 Al 3.25
Cl: 0.5000 0.5000 0.2500  8 Al 3.11, 4 Cl 3.25

Output
- Symmetry: P4/mmm (123)



## Q
Computed, not measured: YAl2Cl after structural relaxation at the PBE level of DFT.

Cell lengths 6.1946, 6.1946, 6.1946 Å; angles 143.07, 143.07, 53.21 degrees
With the nearest neighbours (Å) after each atom.
Sites, in units of the cell vectors:
Y: 0.7500 0.2500 0.5000  4 Cl 2.77
Al: 0.0000 0.0000 0.0000  4 Al 2.77
Al: 0.5000 0.5000 0.0000  4 Al 2.77
Cl: 0.2500 0.7500 0.5000  4 Y 2.77

Output
- Symmetry: I4/mmm (139)



## R
Computed, not measured: YAl2Cl after structural relaxation at the PBE level of DFT.

Cell lengths 3.3025, 3.3025, 9.1961 Å; angles 90.00, 90.00, 90.00 degrees
With the nearest neighbours (Å) after each atom.
Sites, in units of the cell vectors:
Y: 0.5000 0.5000 0.7634  4 Cl 2.87, 4 Al 3.14
Al: 0.0000 0.0000 0.9923  4 Al 2.81, 4 Y 3.14
Al: 0.5000 0.5000 0.1632  4 Al 2.81
Cl: 0.0000 0.0000 0.5811  4 Y 2.87

Output
- Symmetry: P4mm (99)



Which of them is the most stable, and which is the least stable? R and P, in that order.



## P
Computed, not measured: YAl2Cl after structural relaxation at the PBE level of DFT.

Cell lengths 9.3581, 9.3581, 7.1012 Å; angles 48.78, 48.78, 90.00 degrees
With the nearest neighbours (Å) after each atom.
Sites, in units of the cell vectors:
Y: 0.0000 0.0000 0.0000  2 Cl 2.58
Y: 0.7500 0.2500 0.5000  2 Cl 2.58
Al: 0.6581 0.1250 0.2500  2 Al 2.65
Al: 0.0919 0.6250 0.2500  2 Al 2.65
Al: 0.3750 0.3419 0.7500  2 Al 2.65
Al: 0.8750 0.9081 0.7500  2 Al 2.65
Cl: 0.5000 0.5000 0.0000  2 Y 2.58
Cl: 0.2500 0.7500 0.5000  2 Y 2.58

Output
- Symmetry: I-42d (122)



## Q
Computed, not measured: YAl2Cl after structural relaxation at the PBE level of DFT.

Cell lengths 4.9337, 4.9306, 4.9338 Å; angles 119.83, 119.85, 90.29 degrees
With the nearest neighbours (Å) after each atom.
Sites, in units of the cell vectors:
Y: 0.7500 0.2496 0.4996  4 Cl 3.02-3.03, 4 Al 3.02
Al: 0.0000 0.0000 0.0000  4 Al 3.02, 4 Y 3.02
Al: 0.2500 0.7500 0.5000  4 Al 3.02, 4 Cl 3.02
Cl: 0.5000 0.5005 0.0005  4 Y 3.02-3.03, 4 Al 3.02

Output
- Symmetry: I-4m2 (119)



Which of them is the most stable, and which is the least stable? Q and P, in that order.